LiLa2CuBi4 (GGA-PBE, optimized geometry); calculated density = 8.966 g/cm3; E_tot = -4.63 eV per atom
1.0
4.604 0.000 0.000
0.000 4.604 0.000
0.000 0.000 10.345
La Li Bi Cu
2 1 4 1
Cartesian
2.302 0.000 2.535
0.000 2.302 7.809
2.302 2.302 0.000
0.000 2.302 1.607
2.302 2.302 5.172
0.000 0.000 5.172
2.302 0.000 8.738
0.000 0.000 0.000


Hf4GaC2S (GGA-PBE, optimized geometry); calculated density = 11.130 g/cm3; E_tot = -9.24 eV per atom
1.0
-2.156 -1.239 2.218
1.773 -2.059 -1.929
9.424 -0.307 8.989
Ga S Hf C
1 1 4 2
Cartesian
3.866 -1.666 5.330
0.000 0.000 0.000
0.472 -1.555 2.093
3.093 -0.101 2.950
6.331 -0.206 6.038
7.259 -1.776 8.567
2.673 -1.858 1.561
7.677 -2.020 6.334


HoLu3C2S2 (GGA-PBE, optimized geometry); calculated density = 8.987 g/cm3; E_tot = -6.92 eV per atom
1.0
3.628 0.000 0.000
-1.814 3.142 0.000
0.000 0.000 12.613
C Lu S Ho
2 3 2 1
Cartesian
1.814 1.047 0.038
1.814 1.047 6.293
0.000 2.094 5.013
0.000 2.094 1.332
0.000 0.000 7.585
0.000 2.094 9.407
0.000 0.000 3.165
0.000 0.000 11.313


HfZn2Hg (GGA-PBE, optimized geometry); calculated density = 11.654 g/cm3; formation enthalpy at 0 K = 22 kJ/mol of formula units
1.0
0.000 3.312 3.312
3.312 0.000 3.312
3.312 3.312 0.000
Zn Hg Hf
2 1 1
Cartesian
1.656 1.656 1.656
0.000 0.000 0.000
4.968 4.968 4.968
3.312 3.312 3.312